Entry 1:
Compound: Mg2ZrInMo
Source: Alexandria via LeMat-Bulk
Functional: PBE
Structure: optimized geometry

The structure belongs to space group P4/mmm (No. 123); the cell edges are 5.425, 5.425 and 4.891 Å and the angles 90.00°, 90.00° and 90.00°. The distinct sites, in fractional coordinates, are Mg at (0.000, 0.500, 0.000), Zr at (0.000, 0.000, 0.500), In at (0.500, 0.500, 0.500) and Mo at (0.000, 0.000, 0.000).

The calculation puts the magnetization at 0.05 μB per formula unit. The density of states at the Fermi level comes out at 0.854 states/eV per atom. The formation energy comes out at 68.7 kJ per mole of atoms.



Entry 2:
Compound: Mg3InN
Source: Alexandria via LeMat-Bulk
Functional: PBE
Structure: optimized geometry

The structure belongs to space group Pm-3m (No. 221); the cell edges are 5.315, 5.315 and 5.315 Å and the angles 90.00°, 90.00° and 90.00°. The distinct sites, in fractional coordinates, are Mg at (0.000, 0.000, 0.500), In at (0.000, 0.000, 0.000) and N at (0.500, 0.500, 0.500).

As for the energy above the most stable polymorph in this dataset: 7.54 eV per formula unit. The calculation puts the magnetization at 2.00 μB per formula unit. The density of states at the Fermi level comes out at 0.555 states/eV per atom.



Entry 3:
Compound: MgIn2N
Source: Alexandria via LeMat-Bulk
Functional: PBE
Structure: optimized geometry

The structure belongs to space group Fm-3m (No. 225); the cell edges are 6.846, 6.846 and 6.846 Å and the angles 90.00°, 90.00° and 90.00°. The distinct sites, in fractional coordinates, are Mg at (0.000, 0.000, 0.000), In at (0.250, 0.250, 0.250) and N at (0.000, 0.000, 0.500).

As for the energy above the most stable polymorph in this dataset: 2.93 eV per formula unit. The calculation puts the magnetization at 0.00 μB per formula unit. The density of states at the Fermi level comes out at 0.759 states/eV per atom.



no.,volume (Å³/atom)
1,28.79
2,30.04
3,20.06